Compound: SrGaRh3
Source: Alexandria via LeMat-Bulk
Functional: GGA-PBE
Structure: relaxed

Lattice parameters (Å, degrees): 4.6840 4.6840 4.6840 90.00 90.00 90.00
Site moments in Bohr magnetons follow the coordinates.
Element x y z (fractional)
Rh: 0.0000 0.0000 0.5000  0.53
Rh: 0.5000 0.0000 0.0000  0.31
Rh: 0.0000 0.5000 0.0000  0.48
Sr: 0.5000 0.5000 0.5000  -0.01
Ga: 0.0000 0.0000 0.0000  -0.02

Results
Formation enthalpy at 0 K   0.048 eV per atom
Uncorrected energy   -5.30 eV/atom
Magnetization   1.31 Bohr magnetons per cell


Compound: Sr3Ga3Rh2
Source: Alexandria via LeMat-Bulk
Functional: GGA-PBE
Structure: relaxed

Lattice parameters (Å, degrees): 4.3605 6.2128 15.6246 90.00 90.00 110.54
Element x y z (fractional)
Sr: 0.3611 0.7221 0.7500
Sr: 0.9350 0.8700 0.3940
Sr: 0.6389 0.2779 0.2500
Sr: 0.0650 0.1300 0.8940
Sr: 0.0650 0.1300 0.6060
Sr: 0.9350 0.8700 0.1060
Ga: 0.6638 0.3275 0.7500
Ga: 0.6640 0.3280 0.0367
Ga: 0.3360 0.6720 0.5367
Ga: 0.3362 0.6725 0.2500
Ga: 0.3360 0.6720 0.9633
Ga: 0.6640 0.3280 0.4633
Rh: 0.7756 0.5512 0.8934
Rh: 0.2244 0.4488 0.3934
Rh: 0.2244 0.4488 0.1066
Rh: 0.7756 0.5512 0.6066

Results
Formation enthalpy at 0 K   -0.548 eV per atom
Uncorrected energy   -4.15 eV/atom
Magnetization   0.00 Bohr magnetons per cell


Compound: SrGa2Rh2
Source: Alexandria via LeMat-Bulk
Functional: GGA-PBE
Structure: relaxed

Lattice parameters (Å, degrees): 4.2843 4.2843 6.1612 69.65 69.65 90.00
Element x y z (fractional)
Sr: 0.0000 0.0000 0.0000
Rh: 0.3766 0.3766 0.2469
Rh: 0.6234 0.6234 0.7531
Ga: 0.7500 0.2500 0.5000
Ga: 0.2500 0.7500 0.5000

Results
Formation enthalpy at 0 K   -0.581 eV per atom
Uncorrected energy   -5.07 eV/atom
Magnetization   0.00 Bohr magnetons per cell


Compound: SrGa6Rh3
Source: Alexandria via LeMat-Bulk
Functional: GGA-PBE
Structure: relaxed

Lattice parameters (Å, degrees): 6.7831 7.1216 8.0940 114.29 90.00 90.00
Element x y z (fractional)
Ga: 0.7885 0.1978 0.7554
Ga: 0.5231 0.9504 0.8177
Ga: 0.3213 0.4038 0.0969
Ga: 0.0231 0.5496 0.6823
Ga: 0.2885 0.3022 0.7446
Ga: 0.9769 0.4504 0.3177
Ga: 0.7115 0.6978 0.2554
Ga: 0.2115 0.8022 0.2446
Ga: 0.4769 0.0496 0.1823
Ga: 0.1787 0.9038 0.5969
Ga: 0.8213 0.0962 0.4031
Ga: 0.6787 0.5962 0.9031
Rh: 0.8353 0.8030 0.5851
Rh: 0.5000 0.0000 0.5000
Rh: 0.6647 0.3030 0.0851
Rh: 0.0000 0.5000 0.0000
Rh: 0.1647 0.1970 0.4149
Rh: 0.3353 0.6970 0.9149
Sr: 0.0000 0.0000 0.0000
Sr: 0.5000 0.5000 0.5000

Results
Formation enthalpy at 0 K   -0.465 eV per atom
Uncorrected energy   -4.65 eV/atom
Magnetization   0.00 Bohr magnetons per cell


Compound: Sr4Ga3Rh2
Source: Alexandria via LeMat-Bulk
Functional: GGA-PBE
Structure: relaxed

Lattice parameters (Å, degrees): 4.0109 7.6198 8.7514 109.43 103.25 90.00
Element x y z (fractional)
Rh: 0.5840 0.4499 0.1681
Rh: 0.4160 0.5501 0.8319
Ga: 0.1010 0.2539 0.2021
Ga: 0.8990 0.7461 0.7979
Ga: 0.0000 0.5000 0.0000
Sr: 0.4251 0.1135 0.8501
Sr: 0.7727 0.3094 0.5455
Sr: 0.2273 0.6906 0.4545
Sr: 0.5749 0.8865 0.1499

Results
Formation enthalpy at 0 K   -0.480 eV per atom
Uncorrected energy   -3.87 eV/atom
Magnetization   0.00 Bohr magnetons per cell


Compound: SrGa2Rh2
Source: Alexandria via LeMat-Bulk
Functional: GGA-PBE
Structure: relaxed

Lattice parameters (Å, degrees): 8.6176 7.3918 6.0293 79.18 57.41 43.41
Element x y z (fractional)
Sr: 0.5000 0.5000 0.5000
Sr: 0.7500 0.7500 0.7500
Rh: 0.1340 0.1340 0.3660
Rh: 0.1160 0.1160 0.8840
Rh: 0.8840 0.8840 0.1160
Rh: 0.3660 0.3660 0.1340
Ga: 0.8185 0.1815 0.8185
Ga: 0.1815 0.8185 0.1815
Ga: 0.0685 0.4315 0.0685
Ga: 0.4315 0.0685 0.4315

Results
Formation enthalpy at 0 K   -0.708 eV per atom
Uncorrected energy   -5.20 eV/atom
Magnetization   0.00 Bohr magnetons per cell


Copy entry 2 word for word.
Compound: Sr3Ga3Rh2
Source: Alexandria via LeMat-Bulk
Functional: GGA-PBE
Structure: relaxed

Lattice parameters (Å, degrees): 4.3605 6.2128 15.6246 90.00 90.00 110.54
Element x y z (fractional)
Sr: 0.3611 0.7221 0.7500
Sr: 0.9350 0.8700 0.3940
Sr: 0.6389 0.2779 0.2500
Sr: 0.0650 0.1300 0.8940
Sr: 0.0650 0.1300 0.6060
Sr: 0.9350 0.8700 0.1060
Ga: 0.6638 0.3275 0.7500
Ga: 0.6640 0.3280 0.0367
Ga: 0.3360 0.6720 0.5367
Ga: 0.3362 0.6725 0.2500
Ga: 0.3360 0.6720 0.9633
Ga: 0.6640 0.3280 0.4633
Rh: 0.7756 0.5512 0.8934
Rh: 0.2244 0.4488 0.3934
Rh: 0.2244 0.4488 0.1066
Rh: 0.7756 0.5512 0.6066

Results
Formation enthalpy at 0 K   -0.548 eV per atom
Uncorrected energy   -4.15 eV/atom
Magnetization   0.00 Bohr magnetons per cell


Look up the magnetization of the second one.
0.00 Bohr magnetons per cell


Which value of uncorrected energy does entry 4 give?
-4.65 eV/atom